First-principles (PBE-GGA) data for a geometry-optimized SrWIN2 structure, as listed in Alexandria via LeMat-Bulk.

Cell lengths 4.1603, 4.1603, 5.5965 Å; angles 90.00, 90.00, 90.00 degrees
Space group P4/mmm (No. 123)
One atom of each set of equivalent atoms:
1 Sr 0.0000 0.0000 0.0000
2 W 0.5000 0.5000 0.5000
3 I 0.5000 0.5000 0.0000
4 N 0.0000 0.5000 0.5000

Properties
Electronic total energy, eV for the cell shown: -32.4
Raw formation energy, eV/f.u.: 0.42


First-principles (PBE-GGA) data for a geometry-optimized Tm3Si4Ir2 structure, as listed in Alexandria via LeMat-Bulk.

Cell lengths 10.5163, 4.1439, 7.9211 Å; angles 90.00, 108.27, 90.00 degrees
Space group C2/m (No. 12)
One atom of each set of equivalent atoms:
1 Tm 0.0000 0.0000 0.0000
2 Tm 0.1192 0.5000 0.6996
3 Si 0.0902 0.0000 0.4073
4 Si 0.2194 0.5000 0.0740
5 Ir 0.1866 0.5000 0.3611

Properties
Electronic total energy, eV for the cell shown: -122.6
Raw formation energy, eV/f.u.: -8.46


First-principles (PBE-GGA) data for a geometry-optimized Ca2FeHg structure, as listed in Alexandria via LeMat-Bulk.

Cell lengths 11.7168, 3.5030, 5.2629 Å; angles 90.00, 110.63, 90.00 degrees
Space group Cm (No. 8)
One atom of each set of equivalent atoms:
1 Ca 0.0000 0.0000 0.0000
2 Ca 0.2034 0.0000 0.6619
3 Fe 0.2545 0.5000 0.1977
4 Hg 0.4398 0.0000 0.4486

Properties
Electronic total energy, eV for the cell shown: -24.7
ΔH_f (0 K), eV per formula unit: 0.44


First-principles (PBE-GGA) data for a geometry-optimized TlSiW structure, as listed in Alexandria via LeMat-Bulk.

Cell lengths 2.8585, 2.8585, 14.3904 Å; angles 90.00, 90.00, 90.00 degrees
Space group I4mm (No. 107)
One atom of each set of equivalent atoms:
1 Tl 0.0000 0.0000 0.0000
2 Si 0.0000 0.0000 0.3041
3 W 0.0000 0.0000 0.6784

Properties
Electronic total energy, eV for the cell shown: -36.8
Raw formation energy, eV/f.u.: 2.35


First-principles (PBE-GGA) data for a geometry-optimized DyZn6CuNi structure, as listed in Alexandria via LeMat-Bulk.

Cell lengths 6.9557, 8.3769, 10.5998 Å; angles 90.00, 90.00, 90.00 degrees
Space group Imma (No. 74)
One atom of each set of equivalent atoms:
1 Dy 0.0000 0.2500 0.1875
2 Zn 0.0000 0.2500 0.4962
3 Zn 0.0000 0.2500 0.9045
4 Zn 0.1927 0.0004 0.3744
5 Cu 0.2500 0.2500 0.7500
6 Ni 0.0000 0.0000 0.0000

Properties
Electronic total energy, eV for the cell shown: -89.1
ΔH_f (0 K), eV per formula unit: -0.15


First-principles (PBE-GGA) data for a geometry-optimized YHo5Al4 structure, as listed in Alexandria via LeMat-Bulk.

Cell lengths 3.5621, 3.5621, 19.5955 Å; angles 90.00, 90.00, 90.00 degrees
Space group P4/mmm (No. 123)
One atom of each set of equivalent atoms:
1 Y 0.0000 0.0000 0.0000
2 Ho 0.5000 0.5000 0.1291
3 Ho 0.5000 0.5000 0.3152
4 Ho 0.5000 0.5000 0.5000
5 Al 0.0000 0.0000 0.2219
6 Al 0.0000 0.0000 0.4075

Properties
Electronic total energy, eV for the cell shown: -47.5
ΔH_f (0 K), eV per formula unit: -3.15